First-principles (PBE) data for crystalline Cs3UCu2S6 at its relaxed geometry, as listed in the Alexandria database.

Density of states at the Fermi level ... 8.32 states/eV/cell
E_tot ... -4.857 eV per atom
Calculated density ... 3.81 g cm⁻³

Cell: 7.3553 7.3553 8.8836 Å, 90.00 90.00 120.00°
Element x y z (fractional)
Cs (0.0000, 0.0000, 0.0000)
Cs (0.3333, 0.6667, 0.6956)
Cs (0.6667, 0.3333, 0.3044)
U (0.0000, 0.0000, 0.5000)
Cu (0.3333, 0.6667, 0.3161)
Cu (0.6667, 0.3333, 0.6839)
S (0.1609, 0.3219, 0.3243)
S (0.1609, 0.8391, 0.3243)
S (0.3219, 0.1609, 0.6757)
S (0.6781, 0.8391, 0.3243)
S (0.8391, 0.1609, 0.6757)
S (0.8391, 0.6781, 0.6757)


First-principles (PBE) data for crystalline ZrB3Ir at its relaxed geometry, as listed in the Alexandria database.

Energy of formation ... 0.62 eV/atom
Density of states at the Fermi level ... 6.47 states/eV/cell
Distance to the lowest polymorph of the same formula ... 0.0 meV per atom
Calculated density ... 7.89 g cm⁻³

Cell: 4.0515 4.0515 4.0515 Å, 90.00 90.00 90.00°
Element x y z (fractional)
Zr (0.0000, 0.0000, 0.0000)
B (0.0000, 0.5000, 0.5000)
B (0.5000, 0.0000, 0.5000)
B (0.5000, 0.5000, 0.0000)
Ir (0.5000, 0.5000, 0.5000)


First-principles (PBE) data for crystalline K6Rb5Na5 at its relaxed geometry, as listed in the Alexandria database.

Energy of formation ... 0.03 eV/atom
Density of states at the Fermi level ... 10.56 states/eV/cell
Calculated density ... 1.22 g cm⁻³

Cell: 7.8248 12.0594 12.0594 Å, 112.05 90.00 90.00°
Element x y z (fractional)
K (0.0000, 0.0000, 0.0000)
K (0.0000, 0.1006, 0.4135)
K (0.0000, 0.4135, 0.1006)
K (0.5000, 0.1555, 0.1555)
K (0.5000, 0.4670, 0.9626)
K (0.5000, 0.9626, 0.4670)
Rb (0.0000, 0.5406, 0.7925)
Rb (0.0000, 0.7925, 0.5406)
Rb (0.5000, 0.3509, 0.5713)
Rb (0.5000, 0.5713, 0.3509)
Rb (0.5000, 0.8070, 0.8070)
Na (0.0000, 0.4166, 0.4166)
Na (0.2431, 0.1517, 0.7820)
Na (0.2431, 0.7820, 0.1517)
Na (0.7569, 0.1517, 0.7820)
Na (0.7569, 0.7820, 0.1517)


First-principles (PBE) data for crystalline K2Ru at its relaxed geometry, as listed in the Alexandria database.

Energy of formation ... 0.88 eV/atom
Density of states at the Fermi level ... 12.44 states/eV/cell
Distance to the lowest polymorph of the same formula ... 264.4 meV per atom
Calculated density ... 2.81 g cm⁻³

Cell: 19.8876 3.0169 7.5528 Å, 90.00 110.73 90.00°
Element x y z (fractional)
K (0.1046, 0.0000, 0.0975)
K (0.1524, 0.0000, 0.6430)
K (0.3476, 0.5000, 0.3570)
K (0.3954, 0.5000, 0.9025)
K (0.6046, 0.5000, 0.0975)
K (0.6524, 0.5000, 0.6430)
K (0.8476, 0.0000, 0.3570)
K (0.8954, 0.0000, 0.9025)
Ru (0.0001, 0.5000, 0.3521)
Ru (0.9999, 0.5000, 0.6479)
Ru (0.5001, 0.0000, 0.3521)
Ru (0.4999, 0.0000, 0.6479)


First-principles (PBE) data for crystalline Ba3ScCO3F7 at its relaxed geometry, as listed in the Alexandria database.

Density of states at the Fermi level ... 0.00 states/eV/cell
E_tot ... -6.665 eV per atom
Calculated density ... 4.47 g cm⁻³

Cell: 8.9646 8.9646 6.0840 Å, 90.00 90.00 99.08°
Element x y z (fractional)
Ba (0.0942, 0.9058, 0.7500)
Ba (0.1557, 0.3973, 0.7500)
Ba (0.3973, 0.1557, 0.2500)
Ba (0.6027, 0.8443, 0.7500)
Ba (0.8443, 0.6027, 0.2500)
Ba (0.9058, 0.0942, 0.2500)
Sc (0.2684, 0.7316, 0.2500)
Sc (0.7316, 0.2684, 0.7500)
C (0.4616, 0.5384, 0.2500)
C (0.5384, 0.4616, 0.7500)
O (0.3149, 0.4938, 0.2500)
O (0.4448, 0.5552, 0.7500)
O (0.4938, 0.3149, 0.7500)
O (0.5062, 0.6851, 0.2500)
O (0.5552, 0.4448, 0.2500)
O (0.6851, 0.5062, 0.7500)
F (0.1145, 0.8855, 0.2500)
F (0.1170, 0.6415, 0.0053)
F (0.1170, 0.6415, 0.4947)
F (0.1611, 0.1611, 0.0000)
F (0.1611, 0.1611, 0.5000)
F (0.3585, 0.8830, 0.0053)
F (0.3585, 0.8830, 0.4947)
F (0.6415, 0.1170, 0.5053)
F (0.6415, 0.1170, 0.9947)
F (0.8389, 0.8389, 0.0000)
F (0.8389, 0.8389, 0.5000)
F (0.8830, 0.3585, 0.5053)
F (0.8830, 0.3585, 0.9947)
F (0.8855, 0.1145, 0.7500)


First-principles (PBE) data for crystalline ZrNb2CrSn at its relaxed geometry, as listed in the Alexandria database.

Energy of formation ... 1.99 eV/atom
Density of states at the Fermi level ... 13.11 states/eV/cell
Calculated density ... 5.68 g cm⁻³

Cell: 5.0244 5.0244 5.1896 Å, 90.00 90.00 90.00°
Element x y z (fractional)
Zr (0.0000, 0.0000, 0.0000)
Nb (0.0000, 0.5000, 0.5000)
Nb (0.5000, 0.0000, 0.5000)
Cr (0.5000, 0.5000, 0.0000)
Sn (0.0000, 0.0000, 0.5000)


First-principles (PBE) data for crystalline K2AlTl2 at its relaxed geometry, as listed in the Alexandria database.

Energy of formation ... 0.08 eV/atom
Density of states at the Fermi level ... 5.96 states/eV/cell
Calculated density ... 4.87 g cm⁻³

Cell: 7.6472 7.6472 5.9934 Å, 90.00 90.00 90.00°
Element x y z (fractional)
K (0.1774, 0.3226, 0.0000)
K (0.3226, 0.8226, 0.0000)
K (0.6774, 0.1774, 0.0000)
K (0.8226, 0.6774, 0.0000)
Al (0.0000, 0.0000, 0.5000)
Al (0.5000, 0.5000, 0.5000)
Tl (0.1449, 0.6449, 0.5000)
Tl (0.3551, 0.1449, 0.5000)
Tl (0.6449, 0.8551, 0.5000)
Tl (0.8551, 0.3551, 0.5000)


First-principles (PBE) data for crystalline La2Nd2ErAg5 at its relaxed geometry, as listed in the Alexandria database.

Energy of formation ... -0.13 eV/atom
Density of states at the Fermi level ... 14.96 states/eV/cell
Calculated density ... 7.93 g cm⁻³

Cell: 11.1686 11.1686 4.2717 Å, 90.00 90.00 90.00°
Element x y z (fractional)
La (0.1725, 0.3275, 0.0000)
La (0.3275, 0.8275, 0.0000)
La (0.6725, 0.1725, 0.0000)
La (0.8275, 0.6725, 0.0000)
Nd (0.1308, 0.6308, 0.0000)
Nd (0.3692, 0.1308, 0.0000)
Nd (0.6308, 0.8692, 0.0000)
Nd (0.8692, 0.3692, 0.0000)
Er (0.0000, 0.0000, 0.0000)
Er (0.5000, 0.5000, 0.0000)
Ag (0.0000, 0.5000, 0.5000)
Ag (0.0600, 0.8181, 0.5000)
Ag (0.1819, 0.0600, 0.5000)
Ag (0.3181, 0.5600, 0.5000)
Ag (0.4400, 0.3181, 0.5000)
Ag (0.5000, 0.0000, 0.5000)
Ag (0.5600, 0.6819, 0.5000)
Ag (0.6819, 0.4400, 0.5000)
Ag (0.8181, 0.9400, 0.5000)
Ag (0.9400, 0.1819, 0.5000)


First-principles (PBE) data for crystalline Zr2MoRh at its relaxed geometry, as listed in the Alexandria database.

Energy of formation ... -0.16 eV/atom
Density of states at the Fermi level ... 9.09 states/eV/cell
Calculated density ... 8.58 g cm⁻³

Cell: 3.4189 5.0264 8.5892 Å, 90.00 90.00 90.00°
Element x y z (fractional)
Zr (0.0000, 0.0000, 0.2459)
Zr (0.0000, 0.0000, 0.7541)
Zr (0.5000, 0.5000, 0.2541)
Zr (0.5000, 0.5000, 0.7459)
Mo (0.0000, 0.5000, 0.0000)
Mo (0.5000, 0.0000, 0.5000)
Rh (0.0000, 0.5000, 0.5000)
Rh (0.5000, 0.0000, 0.0000)


First-principles (PBE) data for crystalline PuP12Ru4 at its relaxed geometry, as listed in the Alexandria database.

Energy of formation ... -0.62 eV/atom
Density of states at the Fermi level ... 9.49 states/eV/cell
Calculated density ... 6.43 g cm⁻³

Cell: 6.9949 6.9949 6.9949 Å, 109.47 109.47 109.47°
Element x y z (fractional)
Pu (0.0000, 0.0000, 0.0000)
P (0.1428, 0.3557, 0.4985)
P (0.1428, 0.6443, 0.7871)
P (0.2129, 0.8572, 0.3557)
P (0.3557, 0.2129, 0.8572)
P (0.3557, 0.4985, 0.1428)
P (0.4985, 0.1428, 0.3557)
P (0.5015, 0.8572, 0.6443)
P (0.6443, 0.5015, 0.8572)
P (0.6443, 0.7871, 0.1428)
P (0.7871, 0.1428, 0.6443)
P (0.8572, 0.3557, 0.2129)
P (0.8572, 0.6443, 0.5015)
Ru (0.0000, 0.0000, 0.5000)
Ru (0.0000, 0.5000, 0.0000)
Ru (0.5000, 0.0000, 0.0000)
Ru (0.5000, 0.5000, 0.5000)


First-principles (PBE) data for crystalline CrIr2Se at its relaxed geometry, as listed in the Alexandria database.

Density of states at the Fermi level ... 13.17 states/eV/cell
E_tot ... -7.188 eV per atom
Calculated density ... 13.40 g cm⁻³

Cell: 2.7737 4.7603 9.6714 Å, 90.00 90.00 90.00°
Element x y z (fractional)
Cr (0.0000, 0.0000, 0.0000)
Cr (0.5000, 0.5000, 0.0000)
Ir (0.0000, 0.0000, 0.4622)
Ir (0.0000, 0.5000, 0.2209)
Ir (0.5000, 0.0000, 0.2209)
Ir (0.5000, 0.5000, 0.4622)
Se (0.0000, 0.5000, 0.7885)
Se (0.5000, 0.0000, 0.7885)


First-principles (PBE) data for crystalline KPa4Ru3O12 at its relaxed geometry, as listed in the Alexandria database.

Density of states at the Fermi level ... 14.73 states/eV/cell
E_tot ... -8.716 eV per atom
Calculated density ... 8.66 g cm⁻³

Cell: 7.1361 7.1361 7.1361 Å, 109.47 109.47 109.47°
Element x y z (fractional)
K (0.0000, 0.0000, 0.0000)
Pa (0.0000, 0.0000, 0.5000)
Pa (0.0000, 0.5000, 0.0000)
Pa (0.5000, 0.0000, 0.0000)
Pa (0.5000, 0.5000, 0.5000)
Ru (0.0000, 0.5000, 0.5000)
Ru (0.5000, 0.0000, 0.5000)
Ru (0.5000, 0.5000, 0.0000)
O (0.1446, 0.8382, 0.3063)
O (0.1618, 0.3063, 0.4681)
O (0.1618, 0.6937, 0.8554)
O (0.3063, 0.1446, 0.8382)
O (0.3063, 0.4681, 0.1618)
O (0.4681, 0.1618, 0.3063)
O (0.5319, 0.8382, 0.6937)
O (0.6937, 0.5319, 0.8382)
O (0.6937, 0.8554, 0.1618)
O (0.8382, 0.3063, 0.1446)
O (0.8382, 0.6937, 0.5319)
O (0.8554, 0.1618, 0.6937)


First-principles (PBE) data for crystalline SrBiSe2 at its relaxed geometry, as listed in the Alexandria database.

Density of states at the Fermi level ... 6.48 states/eV/cell
E_tot ... -3.976 eV per atom
Calculated density ... 4.80 g cm⁻³

Cell: 6.2746 6.2746 15.9893 Å, 90.00 90.00 90.00°
Element x y z (fractional)
Sr (0.0000, 0.0000, 0.0000)
Sr (0.0000, 0.5000, 0.2500)
Sr (0.5000, 0.0000, 0.7500)
Sr (0.5000, 0.5000, 0.5000)
Bi (0.0000, 0.0000, 0.5000)
Bi (0.0000, 0.5000, 0.7500)
Bi (0.5000, 0.0000, 0.2500)
Bi (0.5000, 0.5000, 0.0000)
Se (0.2297, 0.2500, 0.6250)
Se (0.2500, 0.7297, 0.8750)
Se (0.2500, 0.7703, 0.3750)
Se (0.2703, 0.2500, 0.1250)
Se (0.7297, 0.7500, 0.1250)
Se (0.7500, 0.2297, 0.3750)
Se (0.7500, 0.2703, 0.8750)
Se (0.7703, 0.7500, 0.6250)


First-principles (PBE) data for crystalline Sr2CdPb at its relaxed geometry, as listed in the Alexandria database.

Energy of formation ... -0.27 eV/atom
Density of states at the Fermi level ... 7.63 states/eV/cell
Distance to the lowest polymorph of the same formula ... 231.6 meV per atom
Calculated density ... 5.36 g cm⁻³

Cell: 10.0773 4.1319 7.5524 Å, 90.00 102.89 90.00°
Element x y z (fractional)
Sr (0.2476, 0.0000, 0.2416)
Sr (0.2524, 0.5000, 0.7584)
Sr (0.7476, 0.5000, 0.2416)
Sr (0.7524, 0.0000, 0.7584)
Cd (0.0000, 0.0000, 0.5000)
Cd (0.5000, 0.5000, 0.5000)
Pb (0.0000, 0.5000, 0.0000)
Pb (0.5000, 0.0000, 0.0000)


First-principles (PBE) data for crystalline Er3Mn3S8 at its relaxed geometry, as listed in the Alexandria database.

Density of states at the Fermi level ... 2.54 states/eV/cell
E_tot ... -6.633 eV per atom
Calculated density ... 4.83 g cm⁻³

Cell: 7.6050 7.6050 7.6050 Å, 60.88 60.88 60.88°
Element x y z (fractional)
Er (0.0000, 0.5000, 0.5000)
Er (0.5000, 0.0000, 0.5000)
Er (0.5000, 0.5000, 0.0000)
Mn (0.1234, 0.1234, 0.1234)
Mn (0.5000, 0.5000, 0.5000)
Mn (0.8766, 0.8766, 0.8766)
S (0.2526, 0.2526, 0.2526)
S (0.2641, 0.2641, 0.7360)
S (0.2641, 0.7360, 0.2641)
S (0.2640, 0.7359, 0.7359)
S (0.7360, 0.2641, 0.2641)
S (0.7359, 0.2640, 0.7359)
S (0.7359, 0.7359, 0.2640)
S (0.7474, 0.7474, 0.7474)


First-principles (PBE) data for crystalline MgCd2In at its relaxed geometry, as listed in the Alexandria database.

Energy of formation ... -0.01 eV/atom
Density of states at the Fermi level ... 6.98 states/eV/cell
Calculated density ... 6.48 g cm⁻³

Cell: 3.2789 3.2789 30.0635 Å, 90.00 90.00 120.00°
Element x y z (fractional)
Mg (0.0000, 0.0000, 0.0000)
Mg (0.3333, 0.6667, 0.6667)
Mg (0.6667, 0.3333, 0.3333)
Cd (0.0000, 0.0000, 0.2531)
Cd (0.0000, 0.0000, 0.5038)
Cd (0.3333, 0.6667, 0.1704)
Cd (0.3333, 0.6667, 0.9197)
Cd (0.6667, 0.3333, 0.5864)
Cd (0.6667, 0.3333, 0.8371)
In (0.0000, 0.0000, 0.7510)
In (0.3333, 0.6667, 0.4177)
In (0.6667, 0.3333, 0.0844)


First-principles (PBE) data for crystalline CsBiB3 at its relaxed geometry, as listed in the Alexandria database.

Energy of formation ... 3.03 eV/atom
Density of states at the Fermi level ... 2.85 states/eV/cell
Distance to the lowest polymorph of the same formula ... 877.3 meV per atom
Calculated density ... 5.22 g cm⁻³

Cell: 4.9194 4.9194 4.9194 Å, 90.00 90.00 90.00°
Element x y z (fractional)
Cs (0.0000, 0.0000, 0.0000)
Bi (0.5000, 0.5000, 0.5000)
B (0.0000, 0.0000, 0.5000)
B (0.0000, 0.5000, 0.0000)
B (0.5000, 0.0000, 0.0000)


First-principles (PBE) data for crystalline BSIO2 at its relaxed geometry, as listed in the Alexandria database.

Density of states at the Fermi level ... 3.70 states/eV/cell
E_tot ... -3.995 eV per atom
Calculated density ... 4.21 g cm⁻³

Cell: 3.4610 3.4610 6.6434 Å, 90.00 90.00 90.00°
Element x y z (fractional)
B (0.0000, 0.0000, 0.0000)
S (0.5000, 0.5000, 0.5000)
I (0.0000, 0.0000, 0.5000)
O (0.0000, 0.5000, 0.0000)
O (0.5000, 0.0000, 0.0000)


First-principles (PBE) data for crystalline Tb9Nd2Dy at its relaxed geometry, as listed in the Alexandria database.

Energy of formation ... 0.06 eV/atom
Density of states at the Fermi level ... 17.57 states/eV/cell
Distance to the lowest polymorph of the same formula ... 42.8 meV per atom
Calculated density ... 8.04 g cm⁻³

Cell: 11.3198 11.3198 3.5005 Å, 90.00 90.00 120.00°
Element x y z (fractional)
Tb (0.0000, 0.5000, 0.0000)
Tb (0.1731, 0.3461, 0.5000)
Tb (0.1731, 0.8269, 0.5000)
Tb (0.3461, 0.1731, 0.5000)
Tb (0.5000, 0.0000, 0.0000)
Tb (0.5000, 0.5000, 0.0000)
Tb (0.6539, 0.8269, 0.5000)
Tb (0.8269, 0.1731, 0.5000)
Tb (0.8269, 0.6539, 0.5000)
Nd (0.3333, 0.6667, 0.0000)
Nd (0.6667, 0.3333, 0.0000)
Dy (0.0000, 0.0000, 0.0000)


First-principles (PBE) data for crystalline La2PrSm2Tm at its relaxed geometry, as listed in the Alexandria database.

Energy of formation ... 0.06 eV/atom
Density of states at the Fermi level ... 19.44 states/eV/cell
Calculated density ... 7.13 g cm⁻³

Cell: 7.1530 5.7842 9.9982 Å, 90.00 90.00 90.00°
Element x y z (fractional)
La (0.0000, 0.0000, 0.0000)
La (0.2500, 0.5000, 0.1782)
La (0.5000, 0.0000, 0.0000)
La (0.7500, 0.5000, 0.8218)
Pr (0.2500, 0.0000, 0.6574)
Pr (0.7500, 0.0000, 0.3426)
Sm (0.2500, 0.0000, 0.3323)
Sm (0.2500, 0.5000, 0.8353)
Sm (0.7500, 0.0000, 0.6677)
Sm (0.7500, 0.5000, 0.1647)
Tm (0.0000, 0.5000, 0.5000)
Tm (0.5000, 0.5000, 0.5000)